No. 1
This record from the Alexandria database describes LaMg2GaAu4 after structural relaxation. The functional is PBE-GGA.

Cell lengths 9.475, 9.475, 9.475 Å; angles 28.13, 28.13, 28.13 degrees
Sites, in units of the cell vectors:
La (0.000, 0.000, 0.000)
Mg (0.237, 0.237, 0.237)
Mg (0.763, 0.763, 0.763)
Ga (0.500, 0.500, 0.500)
Au (0.129, 0.129, 0.129)
Au (0.397, 0.397, 0.397)
Au (0.603, 0.603, 0.603)
Au (0.871, 0.871, 0.871)

Properties
The calculation puts the calculated volume at 167.0 Å³/f.u. As for the density: 10.4 g/cm3. The calculation puts the density of states at the Fermi level at 3.81 states/eV/f.u. Its symmetry is No. 166. The value obtained for the total energy is -3.61 eV per atom. The magnetic moment comes out at 0.00 μB per formula unit. Its formation energy from the elements is -0.58 eV/atom. As for the crystal system: trigonal.



No. 2
This record from the Alexandria database describes LaMgGa4Au2 after structural relaxation. The functional is PBE-GGA.

Cell lengths 9.511, 9.511, 9.511 Å; angles 27.45, 27.45, 27.45 degrees
Sites, in units of the cell vectors:
La (0.000, 0.000, 0.000)
Mg (0.500, 0.500, 0.500)
Ga (0.123, 0.123, 0.123)
Ga (0.395, 0.395, 0.395)
Ga (0.605, 0.605, 0.605)
Ga (0.877, 0.877, 0.877)
Au (0.237, 0.237, 0.237)
Au (0.763, 0.763, 0.763)

Properties
The calculation puts the calculated volume at 161.4 Å³/f.u. As for the density: 8.6 g/cm3. The calculation puts the density of states at the Fermi level at 2.32 states/eV/f.u. Its symmetry is No. 166. The value obtained for the total energy is -3.55 eV per atom. The magnetic moment comes out at 0.00 μB per formula unit. Its formation energy from the elements is -0.40 eV/atom. As for the crystal system: trigonal.



No. 3
This record from the Alexandria database describes LaMg2Ga2Au2 after structural relaxation. The functional is PBE-GGA.

Cell lengths 8.835, 8.835, 8.835 Å; angles 29.52, 29.52, 29.52 degrees
Sites, in units of the cell vectors:
La (0.000, 0.000, 0.000)
Mg (0.137, 0.137, 0.137)
Mg (0.863, 0.863, 0.863)
Ga (0.257, 0.257, 0.257)
Ga (0.743, 0.743, 0.743)
Au (0.429, 0.429, 0.429)
Au (0.571, 0.571, 0.571)

Properties
The calculation puts the calculated volume at 148.2 Å³/f.u. As for the density: 8.1 g/cm3. The calculation puts the density of states at the Fermi level at 3.29 states/eV/f.u. Its symmetry is No. 166. The value obtained for the total energy is -3.53 eV per atom. The magnetic moment comes out at 0.00 μB per formula unit. Its formation energy from the elements is -0.57 eV/atom. As for the crystal system: trigonal.